# 1
Dy3ErS4 (PBE-GGA, optimized geometry); VASP energy = -6.33 eV/atom; crystal system = cubic
1.0
5.5079 0.0000 0.0000
0.0000 5.5079 0.0000
0.0000 0.0000 5.5079
Dy Er S
3 1 4
Direct
0.0000 0.0000 0.5000
0.0000 0.5000 0.0000
0.5000 0.0000 0.0000
0.5000 0.5000 0.5000
0.0000 0.0000 0.0000
0.0000 0.5000 0.5000
0.5000 0.0000 0.5000
0.5000 0.5000 0.0000

---

# 2
DyEr5S6 (PBE-GGA, optimized geometry); VASP energy = -6.31 eV/atom; crystal system = monoclinic
1.0
3.3507 -5.8210 0.0000
3.3507 5.8210 0.0000
-2.2534 0.0000 6.2999
Dy Er S
1 5 6
Direct
0.0000 0.0000 0.0000
0.1654 0.8346 0.5000
0.3338 0.6662 0.0000
0.5000 0.5000 0.5000
0.6662 0.3338 0.0000
0.8346 0.1654 0.5000
0.0837 0.4197 0.2515
0.2521 0.2521 0.7492
0.4197 0.0837 0.2515
0.5803 0.9163 0.7485
0.7479 0.7479 0.2508
0.9163 0.5803 0.7485

---

# 3
DyErSbS (PBE-GGA, optimized geometry); VASP energy = -5.70 eV/atom; crystal system = trigonal
1.0
4.0314 0.0000 0.0000
-2.0157 3.4913 0.0000
0.0000 0.0000 21.8884
Dy Er Sb S
3 3 3 3
Direct
0.0000 0.0000 0.0000
0.3333 0.6667 0.6667
0.6667 0.3333 0.3333
0.0000 0.0000 0.1613
0.3333 0.6667 0.8279
0.6667 0.3333 0.4946
0.0000 0.0000 0.5790
0.3333 0.6667 0.2457
0.6667 0.3333 0.9123
0.0000 0.0000 0.7505
0.3333 0.6667 0.4172
0.6667 0.3333 0.0838

---

# 4
DyEr2ScS6 (PBE-GGA, optimized geometry); VASP energy = -6.49 eV/atom; crystal system = trigonal
1.0
3.3851 1.9544 6.0707
-3.3851 1.9544 6.0707
0.0000 -3.9088 6.0707
Dy Er Sc S
1 2 1 6
Direct
0.0000 0.0000 0.0000
0.2975 0.2975 0.2975
0.8005 0.8005 0.8005
0.4959 0.4959 0.4959
0.1062 0.6975 0.4006
0.2171 0.5982 0.8818
0.4006 0.1062 0.6975
0.5982 0.8818 0.2171
0.6975 0.4006 0.1062
0.8818 0.2171 0.5982

---

# 5
Dy2ErScS6 (PBE-GGA, optimized geometry); VASP energy = -6.50 eV/atom; crystal system = trigonal
1.0
3.3949 1.9600 6.0665
-3.3949 1.9600 6.0665
0.0000 -3.9201 6.0665
Dy Er Sc S
2 1 1 6
Direct
0.0000 0.0000 0.0000
0.4978 0.4978 0.4978
0.2002 0.2002 0.2002
0.6973 0.6973 0.6973
0.0784 0.4202 0.8054
0.3125 0.9046 0.5933
0.4202 0.8054 0.0784
0.5933 0.3125 0.9046
0.8054 0.0784 0.4202
0.9046 0.5933 0.3125

---

# 6
Dy2Er3ScS6 (PBE-GGA, optimized geometry); VASP energy = -6.44 eV/atom; crystal system = monoclinic
1.0
8.3827 -1.9234 0.0000
8.3827 1.9234 0.0000
-1.7885 0.0000 7.5204
Dy Er Sc S
2 3 1 6
Direct
0.1662 0.1662 0.3326
0.8338 0.8338 0.6674
0.1683 0.1683 0.8343
0.5000 0.5000 0.5000
0.8317 0.8317 0.1657
0.5000 0.5000 0.0000
0.0018 0.0018 0.7585
0.3343 0.3343 0.4146
0.3372 0.3372 0.9215
0.6628 0.6628 0.0785
0.6657 0.6657 0.5854
0.9982 0.9982 0.2415

---

# 7
DyEr2ScS4 (PBE-GGA, optimized geometry); VASP energy = -6.50 eV/atom; crystal system = monoclinic
1.0
6.6576 0.0000 0.0000
0.0000 3.8093 0.0000
-2.1858 0.0000 6.2978
Dy Er Sc S
1 2 1 4
Direct
0.0000 0.0000 0.0000
0.5000 0.0000 0.5000
0.5000 0.5000 0.0000
0.0000 0.5000 0.5000
0.2436 0.0000 0.7411
0.2487 0.5000 0.2564
0.7513 0.5000 0.7436
0.7564 0.0000 0.2589

---

# 8
DyErSc2S4 (PBE-GGA, optimized geometry); VASP energy = -6.70 eV/atom; crystal system = monoclinic
1.0
6.5738 0.0000 0.0000
0.0000 3.7675 0.0000
-2.1659 0.0000 6.2183
Dy Er Sc S
1 1 2 4
Direct
0.0000 0.0000 0.0000
0.0000 0.5000 0.5000
0.5000 0.0000 0.5000
0.5000 0.5000 0.0000
0.2635 0.0000 0.7527
0.2649 0.5000 0.2569
0.7351 0.5000 0.7431
0.7365 0.0000 0.2473

---

# 9
Dy3ErSc3S8 (PBE-GGA, optimized geometry); VASP energy = -6.68 eV/atom; crystal system = trigonal
1.0
3.7812 2.1831 6.2565
-3.7812 2.1831 6.2565
0.0000 -4.3662 6.2565
Dy Er Sc S
3 1 3 8
Direct
0.0000 0.5000 0.5000
0.5000 0.0000 0.5000
0.5000 0.5000 0.0000
0.5000 0.5000 0.5000
0.0000 0.0000 0.5000
0.0000 0.5000 0.0000
0.5000 0.0000 0.0000
0.2366 0.7531 0.7531
0.2448 0.2448 0.2448
0.2469 0.2469 0.7634
0.2469 0.7634 0.2469
0.7531 0.2366 0.7531
0.7531 0.7531 0.2366
0.7552 0.7552 0.7552
0.7634 0.2469 0.2469

---

# 10
Dy4ErSc3S8 (PBE-GGA, optimized geometry); VASP energy = -6.61 eV/atom; crystal system = trigonal
1.0
3.8221 2.2067 6.2534
-3.8221 2.2067 6.2534
0.0000 -4.4134 6.2534
Dy Er Sc S
4 1 3 8
Direct
0.0000 0.0000 0.0000
0.0000 0.5000 0.5000
0.5000 0.0000 0.5000
0.5000 0.5000 0.0000
0.5000 0.5000 0.5000
0.0000 0.0000 0.5000
0.0000 0.5000 0.0000
0.5000 0.0000 0.0000
0.2403 0.7488 0.7488
0.2446 0.2446 0.2446
0.2512 0.2512 0.7597
0.2512 0.7597 0.2512
0.7488 0.2403 0.7488
0.7488 0.7488 0.2403
0.7554 0.7554 0.7554
0.7597 0.2512 0.2512

---

# 11
Dy3Er3ScS8 (PBE-GGA, optimized geometry); VASP energy = -6.49 eV/atom; crystal system = trigonal
1.0
3.8584 2.2276 6.3164
-3.8584 2.2276 6.3164
0.0000 -4.4553 6.3164
Dy Er Sc S
3 3 1 8
Direct
0.0000 0.5000 0.5000
0.5000 0.0000 0.5000
0.5000 0.5000 0.0000
0.0000 0.0000 0.5000
0.0000 0.5000 0.0000
0.5000 0.0000 0.0000
0.5000 0.5000 0.5000
0.2488 0.2488 0.2488
0.2536 0.7440 0.7440
0.2560 0.2560 0.7464
0.2560 0.7464 0.2560
0.7440 0.2536 0.7440
0.7440 0.7440 0.2536
0.7464 0.2560 0.2560
0.7512 0.7512 0.7512

---

# 12
DyEr4Sc3S8 (PBE-GGA, optimized geometry); VASP energy = -6.59 eV/atom; crystal system = trigonal
1.0
3.8136 2.2018 6.2104
-3.8136 2.2018 6.2104
0.0000 -4.4035 6.2104
Dy Er Sc S
1 4 3 8
Direct
0.0000 0.0000 0.0000
0.0000 0.0000 0.5000
0.0000 0.5000 0.0000
0.5000 0.0000 0.0000
0.5000 0.5000 0.5000
0.0000 0.5000 0.5000
0.5000 0.0000 0.5000
0.5000 0.5000 0.0000
0.2513 0.2513 0.7406
0.2513 0.7406 0.2513
0.2540 0.2540 0.2540
0.2594 0.7487 0.7487
0.7406 0.2513 0.2513
0.7460 0.7460 0.7460
0.7487 0.2594 0.7487
0.7487 0.7487 0.2594

---

# 13
Dy2ErScS4 (PBE-GGA, optimized geometry); VASP energy = -6.52 eV/atom; crystal system = monoclinic
1.0
6.6582 0.0000 0.0000
0.0000 3.8155 0.0000
-2.1939 0.0000 6.3307
Dy Er Sc S
2 1 1 4
Direct
0.0000 0.0000 0.0000
0.5000 0.5000 0.0000
0.0000 0.5000 0.5000
0.5000 0.0000 0.5000
0.2527 0.0000 0.7421
0.2593 0.5000 0.2618
0.7407 0.5000 0.7382
0.7473 0.0000 0.2579

---

# 14
Dy3Er2ScS6 (PBE-GGA, optimized geometry); VASP energy = -6.46 eV/atom; crystal system = monoclinic
1.0
8.4031 -1.9251 0.0000
8.4031 1.9251 0.0000
-1.8166 0.0000 7.5305
Dy Er Sc S
3 2 1 6
Direct
0.0000 0.0000 0.0000
0.3323 0.3323 0.6652
0.6677 0.6677 0.3348
0.3343 0.3343 0.1682
0.6657 0.6657 0.8318
0.0000 0.0000 0.5000
0.1622 0.1622 0.5837
0.1677 0.1677 0.0812
0.5001 0.5001 0.2603
0.4999 0.4999 0.7397
0.8323 0.8323 0.9188
0.8378 0.8378 0.4163

---

# 15
DyErSeS (PBE-GGA, optimized geometry); VASP energy = -6.06 eV/atom; crystal system = trigonal
1.0
3.8746 0.0000 0.0000
-1.9373 3.3555 0.0000
0.0000 0.0000 20.6063
Dy Er Se S
3 3 3 3
Direct
0.0000 0.0000 0.0000
0.3333 0.6667 0.6667
0.6667 0.3333 0.3333
0.0000 0.0000 0.1850
0.3333 0.6667 0.8516
0.6667 0.3333 0.5183
0.0000 0.0000 0.4257
0.3333 0.6667 0.0924
0.6667 0.3333 0.7590
0.0000 0.0000 0.5934
0.3333 0.6667 0.2601
0.6667 0.3333 0.9267

---

# 16
Dy2Er2Se2S3 (PBE-GGA, optimized geometry); VASP energy = -5.85 eV/atom; crystal system = tetragonal
1.0
-2.6514 2.6514 7.2825
2.6514 -2.6514 7.2825
2.6514 2.6514 -7.2825
Dy Er Se S
2 2 2 3
Direct
0.2017 0.2017 0.0000
0.7983 0.7983 0.0000
0.0000 0.5000 0.5000
0.5000 0.0000 0.5000
0.3970 0.3970 0.0000
0.6030 0.6030 0.0000
0.0000 0.0000 0.0000
0.2500 0.7500 0.5000
0.7500 0.2500 0.5000

---

# 17
Dy2Er2Se3S2 (PBE-GGA, optimized geometry); VASP energy = -5.66 eV/atom; crystal system = tetragonal
1.0
-2.7622 2.7622 7.0065
2.7622 -2.7622 7.0065
2.7622 2.7622 -7.0065
Dy Er Se S
2 2 3 2
Direct
0.2121 0.2121 0.0000
0.7879 0.7879 0.0000
0.0000 0.5000 0.5000
0.5000 0.0000 0.5000
0.0000 0.0000 0.0000
0.2500 0.7500 0.5000
0.7500 0.2500 0.5000
0.4012 0.4012 0.0000
0.5988 0.5988 0.0000

---

# 18
DyErSiS (PBE-GGA, optimized geometry); VASP energy = -6.04 eV/atom; crystal system = trigonal
1.0
3.9917 0.0000 0.0000
-1.9958 3.4569 0.0000
0.0000 0.0000 19.8524
Dy Er Si S
3 3 3 3
Direct
0.0000 0.0000 0.0000
0.3333 0.6667 0.6667
0.6667 0.3333 0.3333
0.0000 0.0000 0.5012
0.3333 0.6667 0.1678
0.6667 0.3333 0.8345
0.0000 0.0000 0.2499
0.3333 0.6667 0.9165
0.6667 0.3333 0.5832
0.0000 0.0000 0.7515
0.3333 0.6667 0.4181
0.6667 0.3333 0.0848

---

# 19
Sm2DyErS6 (PBE-GGA, optimized geometry); VASP energy = -6.38 eV/atom; crystal system = trigonal
1.0
3.4940 2.0173 6.1880
-3.4940 2.0173 6.1880
0.0000 -4.0346 6.1880
Sm Dy Er S
2 1 1 6
Direct
0.0000 0.0000 0.0000
0.4996 0.4996 0.4996
0.2037 0.2037 0.2037
0.7031 0.7031 0.7031
0.0890 0.8135 0.4127
0.3150 0.5916 0.9100
0.4127 0.0890 0.8135
0.5916 0.9100 0.3150
0.8135 0.4127 0.0890
0.9100 0.3150 0.5916

---

# 20
Sm4Dy3ErS8 (PBE-GGA, optimized geometry); VASP energy = -6.39 eV/atom; crystal system = trigonal
1.0
3.9356 2.2722 6.5150
-3.9356 2.2722 6.5150
0.0000 -4.5445 6.5150
Sm Dy Er S
4 3 1 8
Direct
0.0000 0.0000 0.0000
0.0000 0.5000 0.5000
0.5000 0.0000 0.5000
0.5000 0.5000 0.0000
0.0000 0.0000 0.5000
0.0000 0.5000 0.0000
0.5000 0.0000 0.0000
0.5000 0.5000 0.5000
0.2464 0.2464 0.2464
0.2480 0.7450 0.7450
0.2550 0.2551 0.7520
0.2550 0.7520 0.2550
0.7450 0.2480 0.7450
0.7450 0.7450 0.2480
0.7520 0.2550 0.2550
0.7536 0.7536 0.7536

---

# 21
Sm3Dy4ErS8 (PBE-GGA, optimized geometry); VASP energy = -6.38 eV/atom; crystal system = trigonal
1.0
3.9378 2.2735 6.4450
-3.9378 2.2735 6.4450
0.0000 -4.5470 6.4450
Sm Dy Er S
3 4 1 8
Direct
0.0000 0.5000 0.5000
0.5000 0.0000 0.5000
0.5000 0.5000 0.0000
0.0000 0.0000 0.5000
0.0000 0.5000 0.0000
0.5000 0.0000 0.0000
0.5000 0.5000 0.5000
0.0000 0.0000 0.0000
0.2417 0.7515 0.7515
0.2465 0.2465 0.2465
0.2485 0.2485 0.7583
0.2485 0.7583 0.2485
0.7515 0.2417 0.7515
0.7515 0.7515 0.2417
0.7535 0.7535 0.7535
0.7583 0.2485 0.2485

---

# 22
Sm3DyEr2S6 (PBE-GGA, optimized geometry); VASP energy = -6.39 eV/atom; crystal system = monoclinic
1.0
3.3946 -5.9013 0.0000
3.3946 5.9013 0.0000
-2.2694 0.0000 6.4927
Sm Dy Er S
3 1 2 6
Direct
0.0000 0.0000 0.0000
0.3345 0.6655 0.0000
0.6655 0.3345 0.0000
0.5000 0.5000 0.5000
0.1665 0.8335 0.5000
0.8335 0.1665 0.5000
0.0851 0.4209 0.2624
0.2431 0.2431 0.7368
0.4209 0.0851 0.2624
0.5791 0.9149 0.7376
0.7569 0.7569 0.2632
0.9149 0.5791 0.7376

---

| no. | raw formation energy (eV/atom) |
| --- | --- |
| 1 | -1.9716 |
| 2 | -1.9631 |
| 3 | -1.3479 |
| 4 | -2.0086 |
| 5 | -2.0094 |
| 6 | -1.9458 |
| 7 | -1.9299 |
| 8 | -1.9125 |
| 9 | -1.9866 |
| 10 | -1.9271 |
| 11 | -2.0294 |
| 12 | -1.9123 |
| 13 | -1.9416 |
| 14 | -1.9537 |
| 15 | -1.8666 |
| 16 | -1.6677 |
| 17 | -1.5458 |
| 18 | -1.3614 |
| 19 | -2.0462 |
| 20 | -2.0029 |
| 21 | -1.9942 |
| 22 | -2.0024 |